[1]
{
  "formula": "Al2ZnI",
  "functional": "meta-GGA SCAN",
  "state": "PBEsol geometry",
  "de_polymorph_mev_per_atom": 0,
  "total_energy_ev_per_atom": -16.0756,
  "lattice_angstrom": [[-2.975, 2.975, 6.558], [2.975, -2.975, 6.558], [2.975, 2.975, -6.558]],
  "species": ["Al", "Al", "Al", "Al", "Zn", "Zn", "I", "I"],
  "fractional_positions": [[0.038, 0.625, 0.913], [0.375, 0.288, 0.413], [0.712, 0.125, 0.087], [0.875, 0.962, 0.587], [0.000, 0.000, 0.000], [0.750, 0.250, 0.500], [0.250, 0.750, 0.500], [0.500, 0.500, 0.000]]
}

=====

[2]
{
  "formula": "AlZn3I",
  "functional": "meta-GGA SCAN",
  "state": "PBEsol geometry",
  "total_energy_ev_per_atom": -15.8268,
  "lattice_angstrom": [[5.334, 0.000, 0.000], [0.000, 5.334, 0.000], [0.000, 0.000, 5.334]],
  "species": ["Al", "Zn", "Zn", "Zn", "I"],
  "fractional_positions": [[0.000, 0.000, 0.000], [0.000, 0.500, 0.500], [0.500, 0.000, 0.500], [0.500, 0.500, 0.000], [0.500, 0.500, 0.500]]
}

=====

[3]
{
  "formula": "ZrAlI2",
  "functional": "meta-GGA SCAN",
  "state": "PBEsol geometry",
  "total_energy_ev_per_atom": -27.8092,
  "lattice_angstrom": [[0.000, 3.605, 3.605], [3.605, 0.000, 3.605], [3.605, 3.605, 0.000]],
  "species": ["Zr", "Al", "I", "I"],
  "fractional_positions": [[0.000, 0.000, 0.000], [0.500, 0.500, 0.500], [0.250, 0.250, 0.250], [0.750, 0.750, 0.750]]
}

=====

[4]
{
  "formula": "Al5In",
  "functional": "meta-GGA SCAN",
  "state": "PBEsol geometry",
  "formation_enthalpy_0k_ev_per_atom": 0.084,
  "de_polymorph_mev_per_atom": 4,
  "total_energy_ev_per_atom": -11.9403,
  "lattice_angstrom": [[2.052, -6.320, 0.000], [2.052, 6.320, 0.000], [0.000, 0.000, 4.104]],
  "species": ["Al", "Al", "Al", "Al", "Al", "In"],
  "fractional_positions": [[0.000, 0.000, 0.000], [0.173, 0.827, 0.500], [0.327, 0.673, 0.000], [0.673, 0.327, 0.000], [0.827, 0.173, 0.500], [0.500, 0.500, 0.500]]
}